(1)
VASP calculation (GGA-PBE) on Tl2GaP2 after structural relaxation.

Its formation energy from the elements is 1.86 eV/f.u. Its volume is 22.859 A^3/atom. The value obtained for the size of the total moment is 0.00 μB per cell. As for the calculated density: 7.852 Mg/m³. The total energy is -3.3448 eV per atom.

The structure belongs to space group P4/mbm (No. 127); the cell edges are 7.526, 7.526 and 4.035 Å and the angles 90.00°, 90.00° and 90.00°. The distinct sites, in fractional coordinates, are Tl at (0.149, 0.351, 0.000), Ga at (0.000, 0.000, 0.500) and P at (0.170, 0.670, 0.500).



(2)
VASP calculation (GGA-PBE) on MgCoRe after structural relaxation.

Its formation energy from the elements is 0.73 eV/f.u. The value obtained for the excess energy over the best structure of this formula in the dataset is 180 meV/atom. Its volume is 14.594 A^3/atom. The value obtained for the size of the total moment is 1.31 μB per cell. As for the calculated density: 10.220 Mg/m³. The total energy is -6.8059 eV per atom.

The structure belongs to space group P3m1 (No. 156); the cell edges are 2.7558, 2.7558 and 6.6568 Å and the angles 90.00°, 90.00° and 120.00°. The distinct sites, in fractional coordinates, are Mg at (0.0000, 0.0000, 0.0000), Co at (0.3333, 0.6667, 0.6651) and Re at (0.6667, 0.3333, 0.3694).



(3)
VASP calculation (GGA-PBE) on CoMo2N after structural relaxation.

The value obtained for the excess energy over the best structure of this formula in the dataset is 309 meV/atom. Its volume is 11.785 A^3/atom. The value obtained for the size of the total moment is 0.00 μB per cell. As for the calculated density: 9.328 Mg/m³. As for the formation energy (no corrections): 682 meV/atom. The total energy is -8.5918 eV per atom.

The structure belongs to space group Fm-3m (No. 225); the cell edges are 5.734, 5.734 and 5.734 Å and the angles 90.00°, 90.00° and 90.00°. The distinct sites, in fractional coordinates, are Co at (0.000, 0.000, 0.000), Mo at (0.250, 0.250, 0.250) and N at (0.000, 0.000, 0.500).



(4)
VASP calculation (GGA-PBE) on SrTaSi2 after structural relaxation.

The value obtained for the excess energy over the best structure of this formula in the dataset is 527 meV/atom. Its volume is 19.872 A^3/atom. The value obtained for the size of the total moment is 0.00 μB per cell. As for the calculated density: 6.784 Mg/m³. As for the formation energy (no corrections): 347 meV/atom. The total energy is -5.7485 eV per atom.

The structure belongs to space group Imm2 (No. 44); the cell edges are 2.967, 5.121 and 10.463 Å and the angles 90.00°, 90.00° and 90.00°. The distinct sites, in fractional coordinates, are Sr at (0.000, 0.000, 0.000), Ta at (0.000, 0.500, 0.791), Si at (0.000, 0.000, 0.502) and Si at (0.000, 0.500, 0.216).



(5)
VASP calculation (GGA-PBE) on Sc6In5Ag after structural relaxation.

Its formation energy from the elements is -4.86 eV/f.u. Its volume is 22.108 A^3/atom. The value obtained for the size of the total moment is 2.98 μB per cell. As for the calculated density: 5.957 Mg/m³. The total energy is -4.9494 eV per atom.

The structure belongs to space group Cmmm (No. 65); the cell edges are 4.606, 13.830 and 8.329 Å and the angles 90.00°, 90.00° and 90.00°. The distinct sites, in fractional coordinates, are Sc at (0.000, 0.000, 0.247), Sc at (0.000, 0.334, 0.247), In at (0.000, 0.163, 0.000), In at (0.000, 0.167, 0.500), In at (0.000, 0.500, 0.500) and Ag at (0.000, 0.500, 0.000).



(6)
VASP calculation (GGA-PBE) on Ac5AlSn3 after structural relaxation.

Its formation energy from the elements is -4.72 eV/f.u. Its volume is 35.661 A^3/atom. The value obtained for the size of the total moment is 0.00 μB per cell. As for the calculated density: 7.854 Mg/m³. The total energy is -4.5572 eV per atom.

The structure belongs to space group P6_3/mcm (No. 193); the cell edges are 10.1435, 10.1435 and 7.2032 Å and the angles 90.00°, 90.00° and 120.00°. The distinct sites, in fractional coordinates, are Ac at (0.0000, 0.2681, 0.2500), Ac at (0.3333, 0.6667, 0.0000), Al at (0.0000, 0.0000, 0.0000) and Sn at (0.0000, 0.3804, 0.7500).



(7)
VASP calculation (GGA-PBE) on Ca5AlCd2 after structural relaxation.

Its formation energy from the elements is -1.77 eV/f.u. Its volume is 30.703 A^3/atom. The value obtained for the size of the total moment is 0.00 μB per cell. As for the calculated density: 3.057 Mg/m³. The total energy is -2.1687 eV per atom.

The structure belongs to space group Pbam (No. 55); the cell edges are 6.923, 13.364 and 5.310 Å and the angles 90.00°, 90.00° and 90.00°. The distinct sites, in fractional coordinates, are Ca at (0.000, 0.000, 0.000), Ca at (0.126, 0.276, 0.000), Ca at (0.167, 0.604, 0.500), Al at (0.000, 0.500, 0.000) and Cd at (0.149, 0.866, 0.500).



(8)
VASP calculation (GGA-PBE) on KIBrN2 after structural relaxation.

The value obtained for the excess energy over the best structure of this formula in the dataset is 0 meV/atom. Its volume is 38.316 A^3/atom. The value obtained for the size of the total moment is 4.15 μB per cell. As for the calculated density: 2.374 Mg/m³. As for the formation energy (no corrections): 1383 meV/atom. The total energy is -2.8117 eV per atom.

The structure belongs to space group P4/mmm (No. 123); the cell edges are 4.636, 4.636 and 8.913 Å and the angles 90.00°, 90.00° and 90.00°. The distinct sites, in fractional coordinates, are K at (0.000, 0.000, 0.000), I at (0.500, 0.500, 0.000), Br at (0.500, 0.500, 0.500) and N at (0.000, 0.500, 0.500).



(9)
VASP calculation (GGA-PBE) on Cd2GaAgSe4 after structural relaxation.

The value obtained for the excess energy over the best structure of this formula in the dataset is 65 meV/atom. Its volume is 28.139 A^3/atom. The value obtained for the size of the total moment is 0.00 μB per cell. As for the calculated density: 5.298 Mg/m³. As for the formation energy (no corrections): -475 meV/atom. The total energy is -3.1807 eV per atom.

The structure belongs to space group Pm (No. 6); the cell edges are 7.045, 4.242 and 7.533 Å and the angles 90.00°, 90.47° and 90.00°. The distinct sites, in fractional coordinates, are Cd at (0.000, 0.000, 0.000), Cd at (0.455, 0.000, 0.351), Ga at (0.475, 0.500, 0.829), Ag at (0.978, 0.500, 0.500), Se at (0.088, 0.000, 0.332), Se at (0.129, 0.500, 0.823), Se at (0.598, 0.000, 0.991) and Se at (0.603, 0.500, 0.529).



(10)
VASP calculation (GGA-PBE) on TbLuAgRu after structural relaxation.

Its formation energy from the elements is -1.50 eV/f.u. Its volume is 21.077 A^3/atom. The value obtained for the size of the total moment is 0.00 μB per cell. As for the calculated density: 10.692 Mg/m³. The total energy is -5.6948 eV per atom.

The structure belongs to space group F-43m (No. 216); the cell edges are 6.961, 6.961 and 6.961 Å and the angles 90.00°, 90.00° and 90.00°. The distinct sites, in fractional coordinates, are Tb at (0.000, 0.000, 0.000), Lu at (0.000, 0.000, 0.500), Ag at (0.250, 0.250, 0.750) and Ru at (0.250, 0.250, 0.250).



(11)
VASP calculation (GGA-PBE) on NaCd2In2Pb2 after structural relaxation.

Its formation energy from the elements is 0.07 eV/f.u. Its volume is 28.589 A^3/atom. The value obtained for the size of the total moment is 0.00 μB per cell. As for the calculated density: 7.400 Mg/m³. The total energy is -2.2812 eV per atom.

The structure belongs to space group C2/m (No. 12); the cell edges are 11.001, 4.552 and 9.052 Å and the angles 90.00°, 117.99° and 90.00°. The distinct sites, in fractional coordinates, are Na at (0.000, 0.000, 0.000), Cd at (0.037, 0.000, 0.364), In at (0.154, 0.500, 0.869) and Pb at (0.210, 0.500, 0.283).



(12)
VASP calculation (GGA-PBE) on PmCuNiPb after structural relaxation.

Its formation energy from the elements is -0.83 eV/f.u. Its volume is 19.367 A^3/atom. The value obtained for the size of the total moment is 0.00 μB per cell. As for the calculated density: 10.170 Mg/m³. The total energy is -4.7904 eV per atom.

The structure belongs to space group F-43m (No. 216); the cell edges are 6.767, 6.767 and 6.767 Å and the angles 90.00°, 90.00° and 90.00°. The distinct sites, in fractional coordinates, are Pm at (0.000, 0.000, 0.000), Cu at (0.250, 0.250, 0.750), Ni at (0.250, 0.250, 0.250) and Pb at (0.000, 0.000, 0.500).



(13)
VASP calculation (GGA-PBE) on KCuAg2 after structural relaxation.

Its formation energy from the elements is 1.69 eV/f.u. The value obtained for the excess energy over the best structure of this formula in the dataset is 192 meV/atom. Its volume is 21.588 A^3/atom. The value obtained for the size of the total moment is 0.00 μB per cell. As for the calculated density: 6.122 Mg/m³. The total energy is -2.3015 eV per atom.

The structure belongs to space group I-4m2 (No. 119); the cell edges are 4.413, 4.413 and 8.868 Å and the angles 90.00°, 90.00° and 90.00°. The distinct sites, in fractional coordinates, are K at (0.000, 0.000, 0.000), Cu at (0.000, 0.500, 0.250), Ag at (0.000, 0.000, 0.500) and Ag at (0.000, 0.500, 0.750).



(14)
VASP calculation (GGA-PBE) on Tb5Nd2Er12 after structural relaxation.

Its formation energy from the elements is 2.51 eV/f.u. Its volume is 32.207 A^3/atom. The value obtained for the size of the total moment is 0.03 μB per cell. As for the calculated density: 8.386 Mg/m³. The total energy is -4.4703 eV per atom.

The structure belongs to space group C2/m (No. 12); the cell edges are 15.678, 9.196 and 8.491 Å and the angles 90.00°, 91.43° and 90.00°. The distinct sites, in fractional coordinates, are Tb at (0.000, 0.000, 0.000), Tb at (0.199, 0.500, 0.509), Tb at (0.232, 0.000, 0.076), Nd at (0.000, 0.316, 0.500), Er at (0.057, 0.500, 0.830), Er at (0.091, 0.000, 0.382), Er at (0.127, 0.309, 0.154) and Er at (0.155, 0.180, 0.745).



(15)
VASP calculation (GGA-PBE) on Sr2TaZn after structural relaxation.

Its formation energy from the elements is 3.07 eV/f.u. Its volume is 29.222 A^3/atom. The value obtained for the size of the total moment is 3.98 μB per cell. As for the calculated density: 5.989 Mg/m³. The total energy is -3.3563 eV per atom.

The structure belongs to space group Cmmm (No. 65); the cell edges are 7.681, 8.987 and 3.386 Å and the angles 90.00°, 90.00° and 90.00°. The distinct sites, in fractional coordinates, are Sr at (0.250, 0.250, 0.000), Ta at (0.000, 0.000, 0.500) and Zn at (0.000, 0.500, 0.500).



(16)
VASP calculation (GGA-PBE) on FeHgAu2 after structural relaxation.

Its formation energy from the elements is 0.96 eV/f.u. Its volume is 17.875 A^3/atom. The value obtained for the size of the total moment is 6.02 μB per cell. As for the calculated density: 15.104 Mg/m³. The total energy is -3.5888 eV per atom.

The structure belongs to space group Cm (No. 8); the cell edges are 9.337, 2.972 and 5.254 Å and the angles 90.00°, 101.30° and 90.00°. The distinct sites, in fractional coordinates, are Fe at (0.000, 0.000, 0.000), Hg at (0.257, 0.000, 0.733), Au at (0.239, 0.500, 0.206) and Au at (0.497, 0.000, 0.469).



(17)
VASP calculation (GGA-PBE) on Sr4N2O after structural relaxation.

Its volume is 20.899 A^3/atom. The value obtained for the size of the total moment is 0.00 μB per cell. As for the calculated density: 4.478 Mg/m³. As for the formation energy (no corrections): -1053 meV/atom. The total energy is -5.1008 eV per atom.

The structure belongs to space group Cmcm (No. 63); the cell edges are 3.748, 12.527 and 12.465 Å and the angles 90.00°, 90.00° and 90.00°. The distinct sites, in fractional coordinates, are Sr at (0.000, 0.000, 0.000), Sr at (0.000, 0.271, 0.114), Sr at (0.000, 0.470, 0.750), N at (0.000, 0.364, 0.571) and O at (0.000, 0.102, 0.750).



(18)
VASP calculation (GGA-PBE) on YZr2Fe after structural relaxation.

Its formation energy from the elements is -0.05 eV/f.u. The value obtained for the excess energy over the best structure of this formula in the dataset is 0 meV/atom. Its volume is 21.454 A^3/atom. The value obtained for the size of the total moment is 0.00 μB per cell. As for the calculated density: 6.331 Mg/m³. The total energy is -8.0191 eV per atom.

The structure belongs to space group Immm (No. 71); the cell edges are 3.318, 5.109 and 10.126 Å and the angles 90.00°, 90.00° and 90.00°. The distinct sites, in fractional coordinates, are Y at (0.000, 0.000, 0.000), Zr at (0.000, 0.500, 0.201) and Fe at (0.000, 0.000, 0.500).



(19)
VASP calculation (GGA-PBE) on CsTbNiCl6 after structural relaxation.

Its volume is 33.441 A^3/atom. The value obtained for the size of the total moment is 2.08 μB per cell. As for the calculated density: 3.108 Mg/m³. As for the formation energy (no corrections): -1663 meV/atom. The total energy is -4.1458 eV per atom.

The structure belongs to space group P312 (No. 149); the cell edges are 6.6618, 6.6618 and 7.8306 Å and the angles 90.00°, 90.00° and 120.00°. The distinct sites, in fractional coordinates, are Cs at (0.0000, 0.0000, 0.0000), Tb at (0.6667, 0.3333, 0.5000), Ni at (0.3333, 0.6667, 0.5000) and Cl at (0.0258, 0.3861, 0.6848).



(20)
VASP calculation (GGA-PBE) on SrPr5P6 after structural relaxation.

Its formation energy from the elements is -16.64 eV/f.u. Its volume is 26.785 A^3/atom. The value obtained for the size of the total moment is 0.00 μB per cell. As for the calculated density: 5.053 Mg/m³. The total energy is -6.2228 eV per atom.

The structure belongs to space group C2/m (No. 12); the cell edges are 7.329, 12.696 and 7.330 Å and the angles 90.00°, 109.50° and 90.00°. The distinct sites, in fractional coordinates, are Sr at (0.000, 0.000, 0.000), Pr at (0.000, 0.165, 0.500), Pr at (0.000, 0.333, 0.000), Pr at (0.000, 0.500, 0.500), P at (0.243, 0.500, 0.255) and P at (0.244, 0.329, 0.746).